The following is a DFT calculation (GGA-PBEsol) of a geometry-optimized Li2MgCd structure.

Computed properties:
Space-group type: No. 216
Relative energy among the computed polymorphs: 0 meV/atom
DFT total energy: -1.9040 eV per atom
D(E_F): 1.2 states/eV per cell
E_form: -192 meV/atom

Lattice parameters (Å, degrees): 4.721 4.721 4.721 60.00 60.00 60.00
Element x y z (fractional)
Li  0.000  0.000  0.000
Li  0.250  0.250  0.250
Mg  0.750  0.750  0.750
Cd  0.500  0.500  0.500